First-principles (PBE) data for a geometry-optimized CrSiSb structure, as listed in Alexandria via LeMat-Bulk.

Cell: 4.1270 4.1270 3.6410 Å, 90.00 90.00 120.00°
Closest atoms and distances in Å follow each position.
Space group P-6m2 (No. 187)
Unique sites:
Cr 0.0000 0.0000 0.0000 x1  3 Si 2.38
Si 0.6667 0.3333 0.0000 x1  3 Cr 2.38
Sb 0.3333 0.6667 0.5000 x1  6 Cr 3.00, 6 Si 3.00

Values from the calculation:
- Energy relative to the elements, uncorrected: 428.1 meV per atom
- Distance to the lowest polymorph of the same formula: 164.4 meV per atom
- M_tot: 1.38 μB/cell

=====

First-principles (PBE) data for a geometry-optimized TcAs2I4 structure, as listed in Alexandria via LeMat-Bulk.

Cell: 5.9108 5.9108 15.9252 Å, 90.00 90.00 90.00°
Closest atoms and distances in Å follow each position.
Space group I4/mmm (No. 139)
Unique sites:
Tc 0.0000 0.0000 0.0000 x2  6 I 2.66-2.96
As 0.0000 0.0000 0.4283 x4  1 As 2.28
I 0.0000 0.0000 0.1673 x4  1 Tc 2.66
I 0.0000 0.5000 0.0000 x4  2 Tc 2.96, 4 As 3.17

Values from the calculation:
- Energy relative to the elements, uncorrected: 419.2 meV per atom
- M_tot: 6.42 μB/cell

=====

First-principles (PBE) data for a geometry-optimized Li3In5Bi12 structure, as listed in Alexandria via LeMat-Bulk.

Cell: 17.5959 17.5959 17.5959 Å, 90.00 90.00 90.00°
Closest atoms and distances in Å follow each position.
Space group Ia-3d (No. 230)
Unique sites:
Li 0.0000 0.2500 0.1250 x24  4 Bi 2.81
In 0.0000 0.0000 0.0000 x16  6 Bi 3.13
In 0.0000 0.2500 0.3750 x24  4 Bi 2.97
Bi 0.0288 0.0944 0.6480 x96  1 Li 2.81, 2 In 2.97-3.13

Values from the calculation:
- Formation energy from the elements: 0.035 eV/atom
- M_tot: 0.00 μB/cell